[1]
Entry from the Alexandria database: an optimized crystal structure of Zn2ReSi (PBE-GGA).

Computed properties:
formation energy without anion corrections = 0.21 eV per atom
crystal system = tetragonal

Unit cell a=3.4338 b=3.4338 c=4.9291 alpha=90.00 beta=90.00 gamma=90.00
Closest atoms and distances in Å follow each position.
Positions (direct):
Zn1 0.0000 0.0000 0.4965  2 Zn 2.43-2.50, 4 Re 2.72
Zn2 0.0000 0.0000 0.0035  2 Zn 2.43-2.50, 4 Re 2.72
Re1 0.5000 0.5000 0.2500  2 Si 2.46, 8 Zn 2.72
Si1 0.5000 0.5000 0.7500  2 Re 2.46, 8 Zn 2.73

[2]
Entry from the Alexandria database: an optimized crystal structure of Cu2RePt (PBE-GGA).

Computed properties:
ΔH_f (0 K) = 0.375 eV/atom
crystal system = tetragonal
energy above the most stable polymorph in this dataset = 351 meV per atom

Unit cell a=3.7656 b=3.8289 c=3.8289 alpha=90.00 beta=90.00 gamma=90.00
Closest atoms and distances in Å follow each position.
Positions (direct):
Cu1 0.0000 0.0000 0.0000  4 Re 2.69, 4 Pt 2.69, 4 Cu 2.71
Cu2 0.0000 0.5000 0.5000  4 Re 2.69, 4 Pt 2.69, 4 Cu 2.71
Pt1 0.5000 0.5000 0.0000  8 Cu 2.69, 4 Re 2.71
Re1 0.5000 0.0000 0.5000  8 Cu 2.69, 4 Pt 2.71

[3]
Entry from the Alexandria database: an optimized crystal structure of ZnSb2Pt (PBE-GGA).

Computed properties:
formation energy without anion corrections = 0.07 eV per atom
crystal system = orthorhombic

Unit cell a=4.8267 b=4.8267 c=3.6832 alpha=90.00 beta=90.00 gamma=104.28
Closest atoms and distances in Å follow each position.
Positions (direct):
Sb1 0.5000 0.5000 0.0000  2 Sb 2.96, 4 Pt 3.04, 4 Zn 3.04
Sb2 0.0000 0.0000 0.0000  2 Sb 2.96, 4 Zn 3.04, 4 Pt 3.04
Zn1 0.5000 0.0000 0.5000  2 Pt 2.96, 8 Sb 3.04
Pt1 0.0000 0.5000 0.5000  2 Zn 2.96, 8 Sb 3.04

Computed V (Å³ per atom) in order:
14.53 13.80 20.79
Computed total magnetization (μB/cell) in order:
0.0 0.0 0.0
Computed DFT total energy (eV/atom) in order:
-4.895 -6.295 -3.825